## P
This record from Alexandria via LeMat-Bulk describes a geometry-optimized Tb8Pm2Pr structure. The functional is PBE.

Unit cell a=9.437 b=9.437 c=9.437 alpha=145.69 beta=128.54 gamma=63.32
Fractional positions:
Tb  0.155  0.361  0.794
Tb  0.161  0.161  0.000
Tb  0.295  0.000  0.295
Tb  0.432  0.639  0.794
Tb  0.568  0.361  0.206
Tb  0.705  0.000  0.705
Tb  0.839  0.839  0.000
Tb  0.845  0.639  0.206
Pm  0.300  0.800  0.500
Pm  0.700  0.200  0.500
Pr  0.000  0.500  0.500


## Q
This record from Alexandria via LeMat-Bulk describes a geometry-optimized Tb8Pm2Pr structure. The functional is PBE.

Unit cell a=9.306 b=9.306 c=5.944 alpha=105.46 beta=105.46 gamma=121.56
Fractional positions:
Tb  0.099  0.333  0.676
Tb  0.208  0.792  0.000
Tb  0.333  0.099  0.676
Tb  0.428  0.428  0.206
Tb  0.572  0.572  0.794
Tb  0.667  0.901  0.324
Tb  0.792  0.208  0.000
Tb  0.901  0.667  0.324
Pm  0.307  0.693  0.500
Pm  0.693  0.307  0.500
Pr  0.000  0.000  0.000


It is P that is the most stable of them.


## P
This record from Alexandria via LeMat-Bulk describes a geometry-optimized Tb4Pm7Pr structure. The functional is PBE.

Unit cell a=8.637 b=8.637 c=9.450 alpha=114.56 beta=114.56 gamma=40.79
Fractional positions:
Tb  0.072  0.072  0.198
Tb  0.171  0.171  0.886
Tb  0.829  0.829  0.114
Tb  0.928  0.928  0.802
Pm  0.000  0.000  0.500
Pm  0.285  0.285  0.618
Pm  0.289  0.289  0.265
Pm  0.415  0.415  0.051
Pm  0.585  0.585  0.949
Pm  0.711  0.711  0.735
Pm  0.715  0.715  0.382
Pr  0.500  0.500  0.500


## Q
This record from Alexandria via LeMat-Bulk describes a geometry-optimized Tb4Pm7Pr structure. The functional is PBE.

Unit cell a=6.336 b=7.311 c=9.024 alpha=90.01 beta=103.65 gamma=90.00
Fractional positions:
Tb  0.219  0.000  0.166
Tb  0.279  0.753  0.834
Tb  0.721  0.247  0.166
Tb  0.781  0.000  0.834
Pm  0.000  0.000  0.500
Pm  0.222  0.500  0.166
Pm  0.280  0.248  0.835
Pm  0.500  0.247  0.499
Pm  0.500  0.753  0.501
Pm  0.720  0.752  0.165
Pm  0.778  0.500  0.834
Pr  0.000  0.500  0.500


It is Q that is the most stable of them.


## P
This record from Alexandria via LeMat-Bulk describes a geometry-optimized Tb2Pm5Pr structure. The functional is PBE.

Unit cell a=9.813 b=9.813 c=6.555 alpha=97.48 beta=97.48 gamma=61.91
Fractional positions:
Tb  0.169  0.677  0.877
Tb  0.323  0.831  0.623
Tb  0.677  0.169  0.377
Tb  0.831  0.323  0.123
Pm  0.003  0.189  0.640
Pm  0.189  0.003  0.140
Pm  0.212  0.389  0.482
Pm  0.389  0.212  0.982
Pm  0.445  0.555  0.250
Pm  0.555  0.445  0.750
Pm  0.611  0.788  0.018
Pm  0.788  0.611  0.518
Pm  0.811  0.997  0.860
Pm  0.997  0.811  0.360
Pr  0.000  0.500  0.000
Pr  0.500  0.000  0.500


## Q
This record from Alexandria via LeMat-Bulk describes a geometry-optimized Tb2Pm5Pr structure. The functional is PBE.

Unit cell a=7.274 b=14.549 c=5.131 alpha=90.00 beta=90.00 gamma=90.00
Fractional positions:
Tb  0.250  0.125  0.000
Tb  0.250  0.625  0.000
Tb  0.750  0.375  0.000
Tb  0.750  0.875  0.000
Pm  0.000  0.000  0.500
Pm  0.001  0.249  0.500
Pm  0.249  0.874  0.000
Pm  0.251  0.374  0.000
Pm  0.499  0.749  0.500
Pm  0.500  0.500  0.500
Pm  0.501  0.251  0.500
Pm  0.749  0.626  0.000
Pm  0.751  0.126  0.000
Pm  0.999  0.751  0.500
Pr  0.000  0.500  0.500
Pr  0.500  0.000  0.500


It is Q that is the most stable of them.


## P
This record from Alexandria via LeMat-Bulk describes a geometry-optimized TbPm3Pr7 structure. The functional is PBE.

Unit cell a=7.889 b=7.889 c=6.561 alpha=93.98 beta=93.98 gamma=82.12
Fractional positions:
Tb  0.000  0.000  0.000
Pm  0.330  0.670  0.500
Pm  0.500  0.500  0.000
Pm  0.670  0.330  0.500
Pr  0.000  0.000  0.500
Pr  0.073  0.420  0.762
Pr  0.261  0.261  0.285
Pr  0.420  0.073  0.762
Pr  0.580  0.927  0.238
Pr  0.739  0.739  0.715
Pr  0.927  0.580  0.238


## Q
This record from Alexandria via LeMat-Bulk describes a geometry-optimized TbPm3Pr7 structure. The functional is PBE.

Unit cell a=8.681 b=8.681 c=6.025 alpha=110.25 beta=110.25 gamma=82.95
Fractional positions:
Tb  0.000  0.000  0.000
Pm  0.293  0.707  0.500
Pm  0.500  0.500  0.000
Pm  0.707  0.293  0.500
Pr  0.000  0.000  0.500
Pr  0.097  0.510  0.804
Pr  0.290  0.290  0.290
Pr  0.490  0.903  0.196
Pr  0.510  0.097  0.804
Pr  0.710  0.710  0.710
Pr  0.903  0.490  0.196


It is Q that is the most stable of them.


## P
This record from Alexandria via LeMat-Bulk describes a geometry-optimized Tb4PmPr7 structure. The functional is PBE.

Unit cell a=8.716 b=8.716 c=9.537 alpha=114.71 beta=114.71 gamma=40.86
Fractional positions:
Tb  0.071  0.071  0.197
Tb  0.170  0.170  0.885
Tb  0.830  0.830  0.115
Tb  0.929  0.929  0.803
Pm  0.500  0.500  0.500
Pr  0.000  0.000  0.500
Pr  0.288  0.288  0.265
Pr  0.288  0.288  0.618
Pr  0.415  0.415  0.052
Pr  0.585  0.585  0.948
Pr  0.712  0.712  0.382
Pr  0.712  0.712  0.735


## Q
This record from Alexandria via LeMat-Bulk describes a geometry-optimized Tb4PmPr7 structure. The functional is PBE.

Unit cell a=6.341 b=7.315 c=9.667 alpha=79.15 beta=71.03 gamma=90.00
Fractional positions:
Tb  0.166  0.167  0.334
Tb  0.334  0.584  0.665
Tb  0.666  0.416  0.335
Tb  0.834  0.833  0.666
Pm  0.500  0.000  0.000
Pr  0.000  0.250  0.001
Pr  0.000  0.750  0.999
Pr  0.167  0.666  0.335
Pr  0.334  0.083  0.665
Pr  0.500  0.500  0.000
Pr  0.666  0.917  0.335
Pr  0.833  0.334  0.665


It is Q that is the most stable of them.


## P
This record from Alexandria via LeMat-Bulk describes a geometry-optimized TbPm2Pr5 structure. The functional is PBE.

Unit cell a=7.347 b=14.716 c=5.209 alpha=90.00 beta=90.00 gamma=90.00
Fractional positions:
Tb  0.000  0.000  0.000
Tb  0.500  0.500  0.000
Pm  0.250  0.124  0.500
Pm  0.250  0.624  0.500
Pm  0.750  0.376  0.500
Pm  0.750  0.876  0.500
Pr  0.000  0.500  0.000
Pr  0.001  0.249  0.000
Pr  0.248  0.876  0.500
Pr  0.252  0.376  0.500
Pr  0.499  0.749  0.000
Pr  0.500  0.000  0.000
Pr  0.501  0.251  0.000
Pr  0.748  0.624  0.500
Pr  0.752  0.124  0.500
Pr  0.999  0.751  0.000


## Q
This record from Alexandria via LeMat-Bulk describes a geometry-optimized TbPm2Pr5 structure. The functional is PBE.

Unit cell a=11.765 b=11.765 c=6.595 alpha=97.74 beta=97.74 gamma=135.81
Fractional positions:
Tb  0.000  0.000  0.250
Tb  0.000  0.000  0.750
Pm  0.000  0.500  0.000
Pm  0.500  0.000  0.500
Pm  0.500  0.500  0.000
Pm  0.500  0.500  0.500
Pr  0.047  0.734  0.466
Pr  0.176  0.395  0.147
Pr  0.266  0.953  0.034
Pr  0.335  0.665  0.750
Pr  0.395  0.176  0.647
Pr  0.605  0.824  0.353
Pr  0.665  0.335  0.250
Pr  0.734  0.047  0.966
Pr  0.824  0.605  0.853
Pr  0.953  0.266  0.534


It is P that is the most stable of them.


## P
This record from Alexandria via LeMat-Bulk describes a geometry-optimized Tb7Pm2Pr3 structure. The functional is PBE.

Unit cell a=5.902 b=3.615 c=19.029 alpha=90.00 beta=93.16 gamma=90.00
Fractional positions:
Tb  0.000  0.000  0.000
Tb  0.193  0.500  0.173
Tb  0.257  0.500  0.538
Tb  0.309  0.000  0.857
Tb  0.691  0.000  0.143
Tb  0.743  0.500  0.462
Tb  0.807  0.500  0.827
Pm  0.287  0.500  0.707
Pm  0.713  0.500  0.293
Pr  0.224  0.000  0.367
Pr  0.500  0.500  0.000
Pr  0.776  0.000  0.633


## Q
This record from Alexandria via LeMat-Bulk describes a geometry-optimized Tb7Pm2Pr3 structure. The functional is PBE.

Unit cell a=6.440 b=3.584 c=17.524 alpha=90.00 beta=90.04 gamma=90.00
Fractional positions:
Tb  0.000  0.000  0.000
Tb  0.172  0.500  0.835
Tb  0.246  0.500  0.499
Tb  0.327  0.000  0.164
Tb  0.673  0.000  0.836
Tb  0.754  0.500  0.501
Tb  0.828  0.500  0.165
Pm  0.496  0.500  0.326
Pm  0.504  0.500  0.674
Pr  0.002  0.000  0.339
Pr  0.500  0.500  0.000
Pr  0.998  0.000  0.661


It is Q that is the most stable of them.


## P
This record from Alexandria via LeMat-Bulk describes a geometry-optimized Tb6PmPr structure. The functional is PBE.

Unit cell a=6.120 b=6.120 c=8.564 alpha=102.14 beta=102.14 gamma=68.06
Fractional positions:
Tb  0.042  0.563  0.200
Tb  0.127  0.127  0.425
Tb  0.437  0.958  0.800
Tb  0.563  0.042  0.200
Tb  0.873  0.873  0.575
Tb  0.958  0.437  0.800
Pm  0.500  0.500  0.500
Pr  0.500  0.500  0.000


## Q
This record from Alexandria via LeMat-Bulk describes a geometry-optimized Tb6PmPr structure. The functional is PBE.

Unit cell a=5.078 b=5.078 c=10.149 alpha=90.00 beta=90.00 gamma=90.00
Fractional positions:
Tb  0.000  0.000  0.000
Tb  0.000  0.000  0.500
Tb  0.000  0.500  0.249
Tb  0.000  0.500  0.751
Tb  0.500  0.000  0.249
Tb  0.500  0.000  0.751
Pm  0.500  0.500  0.000
Pr  0.500  0.500  0.500


It is Q that is the most stable of them.


## P
This record from Alexandria via LeMat-Bulk describes a geometry-optimized Tb5PmPr5 structure. The functional is PBE.

Unit cell a=6.198 b=6.198 c=11.803 alpha=90.00 beta=90.00 gamma=120.00
Fractional positions:
Tb  0.000  0.000  0.234
Tb  0.000  0.000  0.766
Tb  0.334  0.167  0.000
Tb  0.833  0.167  0.000
Tb  0.833  0.666  0.000
Pm  0.333  0.667  0.500
Pr  0.000  0.000  0.500
Pr  0.333  0.667  0.180
Pr  0.333  0.667  0.820
Pr  0.667  0.333  0.344
Pr  0.667  0.333  0.656


## Q
This record from Alexandria via LeMat-Bulk describes a geometry-optimized Tb5PmPr5 structure. The functional is PBE.

Unit cell a=10.037 b=10.037 c=7.091 alpha=110.49 beta=110.49 gamma=35.26
Fractional positions:
Tb  0.000  0.000  0.000
Tb  0.330  0.330  0.329
Tb  0.377  0.377  0.875
Tb  0.623  0.623  0.125
Tb  0.670  0.670  0.671
Pm  0.000  0.000  0.500
Pr  0.175  0.175  0.432
Pr  0.175  0.175  0.920
Pr  0.500  0.500  0.500
Pr  0.825  0.825  0.080
Pr  0.825  0.825  0.568


It is Q that is the most stable of them.


## P
This record from Alexandria via LeMat-Bulk describes a geometry-optimized TbPm3Pr6 structure. The functional is PBE.

Unit cell a=6.748 b=6.748 c=9.201 alpha=103.96 beta=103.96 gamma=62.59
Fractional positions:
Tb  0.000  0.000  0.000
Pm  0.423  0.423  0.833
Pm  0.500  0.500  0.500
Pm  0.577  0.577  0.167
Pr  0.075  0.548  0.200
Pr  0.125  0.125  0.419
Pr  0.452  0.925  0.800
Pr  0.548  0.075  0.200
Pr  0.875  0.875  0.581
Pr  0.925  0.452  0.800


## Q
This record from Alexandria via LeMat-Bulk describes a geometry-optimized TbPm3Pr6 structure. The functional is PBE.

Unit cell a=11.216 b=11.216 c=6.550 alpha=90.00 beta=90.00 gamma=120.80
Fractional positions:
Tb  0.191  0.809  0.500
Tb  0.809  0.191  0.000
Pm  0.057  0.292  0.350
Pm  0.292  0.057  0.850
Pm  0.383  0.617  0.473
Pm  0.617  0.383  0.973
Pm  0.708  0.943  0.350
Pm  0.943  0.708  0.850
Pr  0.034  0.966  0.249
Pr  0.059  0.475  0.759
Pr  0.279  0.721  0.041
Pr  0.289  0.370  0.946
Pr  0.370  0.289  0.446
Pr  0.475  0.059  0.259
Pr  0.525  0.941  0.759
Pr  0.630  0.711  0.946
Pr  0.711  0.630  0.446
Pr  0.721  0.279  0.541
Pr  0.941  0.525  0.259
Pr  0.966  0.034  0.749


It is Q that is the most stable of them.